! GGA-PBE AgBi2Se3I, optimized geometry; values from VASP
! Space-group type ... P2_1/m (11)
! Final energy ... -3.575 eV per atom
&SYSTEM
  ibrav = 0, nat = 14, ntyp = 4
/
ATOMIC_SPECIES
Ag 107.87 Ag.upf
Bi 208.98 Bi.upf
I 126.90 I.upf
Se 78.96 Se.upf
ATOMIC_POSITIONS angstrom
Ag -8.168 -2.442 -4.949
Ag -4.274 2.252 -0.498
Bi -8.033 0.734 -2.049
Bi -8.883 5.429 -2.248
Bi -3.559 -5.619 -3.199
Bi -4.409 -0.924 -3.398
I -9.084 2.875 -4.671
I -3.358 -3.065 -0.776
Se -6.578 3.380 -1.773
Se -6.617 0.139 -4.637
Se -5.825 -0.329 -0.811
Se -5.864 -3.570 -3.674
Se -10.489 -0.466 -5.503
Se -1.953 0.276 0.055
CELL_PARAMETERS angstrom
-1.231 -5.523 -6.020
-2.492 -2.215 2.542
-8.719 7.548 -1.969



! GGA-PBE InAgBi, optimized geometry; values from VASP
! Space-group type ... F-43m (216)
! Final energy ... -3.006 eV per atom
&SYSTEM
  ibrav = 0, nat = 3, ntyp = 3
/
ATOMIC_SPECIES
Bi 208.98 Bi.upf
Ag 107.87 Ag.upf
In 114.82 In.upf
ATOMIC_POSITIONS angstrom
Bi 0.000 0.000 0.000
Ag 1.777 1.777 1.777
In 5.331 5.331 5.331
CELL_PARAMETERS angstrom
0.000 3.554 3.554
3.554 0.000 3.554
3.554 3.554 0.000



! GGA-PBE InAgBi2, optimized geometry; values from VASP
! Space-group type ... F-43m (216)
! Final energy ... -3.255 eV per atom
&SYSTEM
  ibrav = 0, nat = 4, ntyp = 3
/
ATOMIC_SPECIES
In 114.82 In.upf
Ag 107.87 Ag.upf
Bi 208.98 Bi.upf
ATOMIC_POSITIONS angstrom
In -7.154 -4.459 -5.106
Ag -4.769 -2.973 -3.404
Bi -2.385 -1.486 -1.702
Bi 0.000 0.000 0.000
CELL_PARAMETERS angstrom
-2.659 -4.605 -0.707
-5.229 0.078 -1.197
-1.651 -1.418 -4.903



! GGA-PBE Li4InAg2Bi, optimized geometry; values from VASP
! Space-group type ... P-4m2 (115)
! Final energy ... -2.845 eV per atom
&SYSTEM
  ibrav = 0, nat = 8, ntyp = 4
/
ATOMIC_SPECIES
Ag 107.87 Ag.upf
Li 6.94 Li.upf
Bi 208.98 Bi.upf
In 114.82 In.upf
ATOMIC_POSITIONS angstrom
Ag 2.335 0.000 1.575
Ag 0.000 2.335 5.172
Li 2.335 0.000 5.097
Li 0.000 2.335 1.650
Li 0.000 0.000 0.000
Li 2.335 2.335 3.374
Bi 0.000 0.000 3.374
In 2.335 2.335 0.000
CELL_PARAMETERS angstrom
4.670 0.000 0.000
0.000 4.670 0.000
0.000 0.000 6.747



! GGA-PBE AgBi5Ir3, optimized geometry; values from VASP
! Space-group type ... P6/mmm (191)
! Final energy ... -5.306 eV per atom
&SYSTEM
  ibrav = 0, nat = 9, ntyp = 3
/
ATOMIC_SPECIES
Bi 208.98 Bi.upf
Ir 192.22 Ir.upf
Ag 107.87 Ag.upf
ATOMIC_POSITIONS angstrom
Bi 2.658 1.694 2.587
Bi 2.981 0.735 6.501
Bi 5.502 -0.341 4.614
Bi -0.011 -1.172 3.588
Bi 2.510 -2.248 1.702
Ir 2.746 -0.757 4.101
Ir 0.811 1.275 4.759
Ir 4.593 -0.338 1.929
Ag 0.000 0.000 0.000
CELL_PARAMETERS angstrom
-3.695 -0.837 4.344
3.870 -4.064 -1.315
5.316 3.388 5.174



! GGA-PBE AgBiIr2, optimized geometry; values from VASP
! Space-group type ... F-43m (216)
! Final energy ... -5.564 eV per atom
&SYSTEM
  ibrav = 0, nat = 4, ntyp = 3
/
ATOMIC_SPECIES
Bi 208.98 Bi.upf
Ag 107.87 Ag.upf
Ir 192.22 Ir.upf
ATOMIC_POSITIONS angstrom
Bi 3.308 3.308 3.308
Ag 1.654 1.654 1.654
Ir 4.962 4.962 4.962
Ir 0.000 0.000 0.000
CELL_PARAMETERS angstrom
0.000 3.308 3.308
3.308 0.000 3.308
3.308 3.308 0.000



! GGA-PBE K2AgBi, optimized geometry; values from VASP
! Space-group type ... C222_1 (20)
! Final energy ... -2.614 eV per atom
&SYSTEM
  ibrav = 0, nat = 8, ntyp = 3
/
ATOMIC_SPECIES
Ag 107.87 Ag.upf
K 39.10 K.upf
Bi 208.98 Bi.upf
ATOMIC_POSITIONS angstrom
Ag 2.087 0.743 6.649
Ag -3.311 7.651 -0.278
K -0.078 3.896 5.372
K 0.506 7.193 0.940
K -0.344 0.308 3.462
K -2.532 5.390 2.968
Bi -3.316 2.136 4.714
Bi 0.421 3.531 1.717
CELL_PARAMETERS angstrom
-5.825 3.566 -0.196
1.259 -0.625 6.687
3.342 5.453 -0.120



! GGA-PBE KRbAgBi, optimized geometry; values from VASP
! Space-group type ... Amm2 (38)
! Final energy ... -2.563 eV per atom
&SYSTEM
  ibrav = 0, nat = 8, ntyp = 4
/
ATOMIC_SPECIES
Rb 85.47 Rb.upf
Ag 107.87 Ag.upf
Bi 208.98 Bi.upf
K 39.10 K.upf
ATOMIC_POSITIONS angstrom
Rb 0.752 -1.007 3.162
Rb -2.362 0.973 2.248
Ag -3.227 -1.517 7.705
Ag -4.859 -4.316 7.201
Bi -2.317 -2.880 1.653
Bi -1.736 -0.037 5.833
K -1.709 -3.882 5.251
K -4.797 -1.918 4.344
CELL_PARAMETERS angstrom
-3.344 -5.733 -1.031
3.338 -2.905 5.327
-5.717 2.855 2.668



! GGA-PBE KRb3Ag2Bi2, optimized geometry; values from VASP
! Space-group type ... Pm (6)
! Final energy ... -2.541 eV per atom
&SYSTEM
  ibrav = 0, nat = 8, ntyp = 4
/
ATOMIC_SPECIES
Rb 85.47 Rb.upf
Bi 208.98 Bi.upf
Ag 107.87 Ag.upf
K 39.10 K.upf
ATOMIC_POSITIONS angstrom
Rb 0.096 3.389 3.354
Rb 1.708 0.000 5.664
Rb 3.172 3.389 1.090
Bi 3.595 3.389 4.902
Bi 1.257 0.000 1.844
Ag -2.029 1.678 6.701
Ag -2.029 5.101 6.701
K 4.768 0.000 3.397
CELL_PARAMETERS angstrom
6.924 0.000 0.000
0.000 6.778 0.000
-2.047 0.000 6.731



! GGA-PBE K2RbAg3Bi2, optimized geometry; values from VASP
! Space-group type ... R-3m (166)
! Final energy ... -2.758 eV per atom
&SYSTEM
  ibrav = 0, nat = 8, ntyp = 4
/
ATOMIC_SPECIES
Ag 107.87 Ag.upf
Bi 208.98 Bi.upf
Rb 85.47 Rb.upf
K 39.10 K.upf
ATOMIC_POSITIONS angstrom
Ag 1.586 -0.916 7.807
Ag -1.586 -0.916 7.807
Ag 0.000 1.831 7.807
Bi 0.000 0.000 17.778
Bi 0.000 0.000 5.642
Rb 0.000 0.000 11.710
K 0.000 0.000 21.449
K 0.000 0.000 1.970
CELL_PARAMETERS angstrom
3.172 1.831 7.807
-3.172 1.831 7.807
0.000 -3.663 7.807



! GGA-PBE LiLa2AgBi4, optimized geometry; values from VASP
! Space-group type ... P-4m2 (115)
! Final energy ... -4.541 eV per atom
&SYSTEM
  ibrav = 0, nat = 8, ntyp = 4
/
ATOMIC_SPECIES
Bi 208.98 Bi.upf
La 138.91 La.upf
Li 6.94 Li.upf
Ag 107.87 Ag.upf
ATOMIC_POSITIONS angstrom
Bi 2.306 0.000 8.962
Bi 0.000 2.306 1.833
Bi 2.306 2.306 5.397
Bi 0.000 0.000 5.397
La 2.306 0.000 2.743
La 0.000 2.306 8.051
Li 2.306 2.306 0.000
Ag 0.000 0.000 0.000
CELL_PARAMETERS angstrom
4.612 0.000 0.000
0.000 4.612 0.000
0.000 0.000 10.794



! GGA-PBE NaLa2AgBi4, optimized geometry; values from VASP
! Space-group type ... P-4m2 (115)
! Final energy ... -4.396 eV per atom
&SYSTEM
  ibrav = 0, nat = 8, ntyp = 4
/
ATOMIC_SPECIES
Bi 208.98 Bi.upf
Ag 107.87 Ag.upf
La 138.91 La.upf
Na 22.99 Na.upf
ATOMIC_POSITIONS angstrom
Bi -2.610 -6.081 6.526
Bi -2.782 -1.188 0.594
Bi -1.526 -4.498 2.814
Bi -3.865 -2.771 4.306
Ag 0.000 0.000 0.000
La -4.471 -6.166 3.708
La -0.921 -1.103 3.412
Na -2.339 1.727 1.493
CELL_PARAMETERS angstrom
-0.243 2.507 3.876
-4.436 0.948 -0.891
-3.053 -8.996 5.627